Record 1
## GeSb3Au6 (PBE)

Data for an optimized crystal structure of GeSb3Au6.

As for the formation energy from raw total energies: 0.017 eV per atom. The value obtained for the calculated total energy is -145.92 eV for the cell shown.

It has space group Cmc2_1 (No. 36), with a = 8.246 Å, b = 11.474 Å, c = 9.745 Å, α = 90.00°, β = 90.00° and γ = 90.00°. The inequivalent atoms are Ge at (0.000, 0.118, 0.000), Sb at (0.000, 0.438, 0.713), Sb at (0.178, 0.138, 0.593), Au at (0.000, 0.152, 0.251), Au at (0.000, 0.333, 0.455), Au at (0.185, 0.265, 0.847) and Au at (0.236, 0.016, 0.867).

Record 2
## In7BiPb12 (PBE)

Data for an optimized crystal structure of In7BiPb12.

The value obtained for the calculated total energy is -67.25 eV for the cell shown. The value obtained for the formation energy is 0.015 eV per atom.

It has space group P-1 (No. 2), with a = 9.025 Å, b = 9.047 Å, c = 9.488 Å, α = 104.07°, β = 108.58° and γ = 113.95°. The inequivalent atoms are In at (0.000, 0.000, 0.000), In at (0.301, 0.105, 0.398), In at (0.349, 0.449, 0.301), In at (0.405, 0.793, 0.206), Bi at (0.500, 0.500, 0.000), Pb at (0.045, 0.341, 0.901), Pb at (0.100, 0.695, 0.802), Pb at (0.150, 0.047, 0.701), Pb at (0.208, 0.399, 0.596), Pb at (0.256, 0.755, 0.496) and Pb at (0.443, 0.143, 0.103).

Record 3
## ZnSiCl2 (PBE)

Data for an optimized crystal structure of ZnSiCl2.

As for the formation energy from raw total energies: 0.212 eV per atom. The value obtained for the calculated total energy is -19.08 eV for the cell shown. The value obtained for the distance to the lowest polymorph of the same formula is 532 meV/atom.

It has space group Cmmm (No. 65), with a = 6.171 Å, b = 7.615 Å, c = 3.492 Å, α = 90.00°, β = 90.00° and γ = 90.00°. The inequivalent atoms are Zn at (0.000, 0.000, 0.000), Si at (0.000, 0.500, 0.000) and Cl at (0.250, 0.250, 0.500).

Record 4
## ZrReBr2 (PBE)

Data for an optimized crystal structure of ZrReBr2.

As for the formation energy from raw total energies: 0.754 eV per atom. The value obtained for the calculated total energy is -42.65 eV for the cell shown. The value obtained for the distance to the lowest polymorph of the same formula is 987 meV/atom.

It has space group Cmmm (No. 65), with a = 3.140 Å, b = 5.761 Å, c = 9.411 Å, α = 90.00°, β = 90.00° and γ = 90.00°. The inequivalent atoms are Zr at (0.000, 0.000, 0.000), Re at (0.000, 0.000, 0.500) and Br at (0.000, 0.500, 0.242).

Record 5
## ScCr2Ni (PBE)

Data for an optimized crystal structure of ScCr2Ni.

The value obtained for the calculated total energy is -87.75 eV for the cell shown. The value obtained for the distance to the lowest polymorph of the same formula is 484 meV/atom. The value obtained for the formation energy is 0.528 eV per atom.

It has space group R-3m (No. 166, hexagonal axes), with a = 2.6798 Å, b = 2.6798 Å, c = 26.3098 Å, α = 90.00°, β = 90.00° and γ = 120.00°. The inequivalent atoms are Sc at (0.0000, 0.0000, 0.0000), Cr at (0.0000, 0.0000, 0.2420) and Ni at (0.0000, 0.0000, 0.5000).

Record 6
## Cs2NaSnPt (PBE)

Data for an optimized crystal structure of Cs2NaSnPt.

The value obtained for the calculated total energy is -13.44 eV for the cell shown. The value obtained for the formation energy is -0.073 eV per atom.

It has space group P4/mmm (No. 123), with a = 6.881 Å, b = 6.881 Å, c = 5.142 Å, α = 90.00°, β = 90.00° and γ = 90.00°. The inequivalent atoms are Cs at (0.000, 0.500, 0.000), Na at (0.000, 0.000, 0.500), Sn at (0.500, 0.500, 0.500) and Pt at (0.500, 0.500, 0.000).

Record 7
## Cs3PaBi2Se6 (PBE)

Data for an optimized crystal structure of Cs3PaBi2Se6.

As for the formation energy from raw total energies: -0.948 eV per atom. The value obtained for the calculated total energy is -104.20 eV for the cell shown.

It has space group C2/m (No. 12), with a = 8.197 Å, b = 12.885 Å, c = 8.580 Å, α = 90.00°, β = 108.38° and γ = 90.00°. The inequivalent atoms are Cs at (0.000, 0.000, 0.000), Cs at (0.000, 0.327, 0.000), Pa at (0.000, 0.500, 0.500), Bi at (0.000, 0.170, 0.500), Se at (0.206, 0.337, 0.689) and Se at (0.248, 0.500, 0.318).

Record 8
## CsRbSeS2 (PBE)

Data for an optimized crystal structure of CsRbSeS2.

As for the formation energy from raw total energies: -0.555 eV per atom. The value obtained for the calculated total energy is -32.67 eV for the cell shown.

It has space group P2/c (No. 13), with a = 8.202 Å, b = 5.543 Å, c = 9.332 Å, α = 90.00°, β = 104.09° and γ = 90.00°. The inequivalent atoms are Cs at (0.000, 0.233, 0.250), Rb at (0.500, 0.474, 0.750), Se at (0.500, 0.000, 0.000) and S at (0.249, 0.236, 0.962).